First-principles (PBE) data for an optimized crystal structure of TePd2Pb2, as listed in OQMD via LeMat-Bulk.

Results
The total energy is -4.18 eV per atom.

Lattice parameters (Å, degrees): 7.046 7.046 7.046 143.68 143.68 52.30
Sites, in units of the cell vectors:
Pb1 0.385 0.385 0.000
Pb2 0.615 0.615 0.000
Pd1 0.750 0.250 0.500
Pd2 0.250 0.750 0.500
Te1 0.000 0.000 0.000